Entry 1:
# SrPrTe4 | the Alexandria database | PBE | optimized geometry
# density of states at the Fermi level	4.1	states/eV/f.u.
# uncorrected formation energy	-1.11	eV per atom
# volume	33.983	Å³ per atom
# total moment	0.00	μB/f.u.
# crystal system	tetragonal
data_SrPrTe4
_cell_length_a 7.0393
_cell_length_b 7.0393
_cell_length_c 8.2298
_cell_angle_alpha 90.00
_cell_angle_beta 90.00
_cell_angle_gamma 90.00
_space_group_name_H-M_alt 'P 1'
_space_group_IT_number 1
loop_
_space_group_symop_operation_xyz
'x,y,z'
loop_
_atom_site_label
_atom_site_type_symbol
_atom_site_fract_x
_atom_site_fract_y
_atom_site_fract_z
_atom_site_occupancy
Sr1 Sr 0.5000 0.5000 0.5000 1
Sr2 Sr 0.0000 0.0000 0.5000 1
Pr1 Pr 0.5000 0.5000 0.0000 1
Pr2 Pr 0.0000 0.0000 0.0000 1
Te1 Te 0.6501 0.8499 0.2354 1
Te2 Te 0.1501 0.6501 0.2354 1
Te3 Te 0.8499 0.3499 0.2354 1
Te4 Te 0.6501 0.1501 0.7646 1
Te5 Te 0.3499 0.8499 0.7646 1
Te6 Te 0.3499 0.1501 0.2354 1
Te7 Te 0.8499 0.6501 0.7646 1
Te8 Te 0.1501 0.3499 0.7646 1


Entry 2:
# SrPr4Te6 | the Alexandria database | PBE | optimized geometry
# density of states at the Fermi level	3.9	states/eV/f.u.
# uncorrected formation energy	-1.49	eV per atom
# volume	35.647	Å³ per atom
# total moment	0.00	μB/f.u.
# crystal system	orthorhombic
data_SrPr4Te6
_cell_length_a 4.5190
_cell_length_b 7.7750
_cell_length_c 23.3269
_cell_angle_alpha 90.00
_cell_angle_beta 90.00
_cell_angle_gamma 106.89
_space_group_name_H-M_alt 'P 1'
_space_group_IT_number 1
loop_
_space_group_symop_operation_xyz
'x,y,z'
loop_
_atom_site_label
_atom_site_type_symbol
_atom_site_fract_x
_atom_site_fract_y
_atom_site_fract_z
_atom_site_occupancy
Sr1 Sr 0.6610 0.3220 0.2500 1
Sr2 Sr 0.3390 0.6780 0.7500 1
Pr1 Pr 0.8596 0.7193 0.5382 1
Pr2 Pr 0.4111 0.8222 0.1281 1
Pr3 Pr 0.1404 0.2807 0.4618 1
Pr4 Pr 0.5889 0.1778 0.8719 1
Pr5 Pr 0.8596 0.7193 0.9618 1
Pr6 Pr 0.1404 0.2807 0.0382 1
Pr7 Pr 0.5889 0.1778 0.6281 1
Pr8 Pr 0.4111 0.8222 0.3719 1
Te1 Te 0.5000 0.0000 0.0000 1
Te2 Te 0.5000 0.0000 0.5000 1
Te3 Te 0.0507 0.1015 0.3363 1
Te4 Te 0.9493 0.8985 0.6637 1
Te5 Te 0.9493 0.8985 0.8363 1
Te6 Te 0.0507 0.1015 0.1637 1
Te7 Te 0.7692 0.5384 0.4103 1
Te8 Te 0.2308 0.4616 0.5897 1
Te9 Te 0.2308 0.4616 0.9103 1
Te10 Te 0.7692 0.5384 0.0897 1
Te11 Te 0.3223 0.6446 0.2500 1
Te12 Te 0.6777 0.3554 0.7500 1


Entry 3:
# SrPr5Te6 | the Alexandria database | PBE | optimized geometry
# density of states at the Fermi level	6.1	states/eV/f.u.
# uncorrected formation energy	-1.48	eV per atom
# volume	33.499	Å³ per atom
# total moment	0.00	μB/f.u.
# crystal system	monoclinic
data_SrPr5Te6
_cell_length_a 7.9211
_cell_length_b 7.8732
_cell_length_c 7.8865
_cell_angle_alpha 60.06
_cell_angle_beta 80.46
_cell_angle_gamma 70.60
_space_group_name_H-M_alt 'P 1'
_space_group_IT_number 1
loop_
_space_group_symop_operation_xyz
'x,y,z'
loop_
_atom_site_label
_atom_site_type_symbol
_atom_site_fract_x
_atom_site_fract_y
_atom_site_fract_z
_atom_site_occupancy
Sr1 Sr 0.0000 0.0000 0.0000 1
Pr1 Pr 0.5000 0.1641 0.6717 1
Pr2 Pr 0.0000 0.3327 0.3346 1
Pr3 Pr 0.5000 0.5000 0.0000 1
Pr4 Pr 0.0000 0.6673 0.6654 1
Pr5 Pr 0.5000 0.8359 0.3283 1
Te1 Te 0.7470 0.0844 0.3353 1
Te2 Te 0.2530 0.5802 0.3353 1
Te3 Te 0.2483 0.2526 0.0000 1
Te4 Te 0.7517 0.7474 0.0000 1
Te5 Te 0.7470 0.4198 0.6647 1
Te6 Te 0.2530 0.9156 0.6647 1


Entry 4:
# Sr2PrTe4 | the Alexandria database | PBE | optimized geometry
# density of states at the Fermi level	5.6	states/eV/f.u.
# uncorrected formation energy	-1.36	eV per atom
# volume	38.511	Å³ per atom
# total moment	0.00	μB/f.u.
# crystal system	orthorhombic
data_Sr2PrTe4
_cell_length_a 4.4556
_cell_length_b 8.3958
_cell_length_c 14.9485
_cell_angle_alpha 90.00
_cell_angle_beta 90.00
_cell_angle_gamma 105.39
_space_group_name_H-M_alt 'P 1'
_space_group_IT_number 1
loop_
_space_group_symop_operation_xyz
'x,y,z'
loop_
_atom_site_label
_atom_site_type_symbol
_atom_site_fract_x
_atom_site_fract_y
_atom_site_fract_z
_atom_site_occupancy
Sr1 Sr 0.1318 0.2637 0.4282 1
Sr2 Sr 0.8682 0.7363 0.9282 1
Sr3 Sr 0.1318 0.2637 0.0718 1
Sr4 Sr 0.8682 0.7363 0.5718 1
Pr1 Pr 0.6265 0.2530 0.7500 1
Pr2 Pr 0.3735 0.7470 0.2500 1
Te1 Te 0.7779 0.5558 0.1268 1
Te2 Te 0.7779 0.5558 0.3732 1
Te3 Te 0.2221 0.4442 0.8732 1
Te4 Te 0.2221 0.4442 0.6268 1
Te5 Te 0.9858 0.9715 0.7500 1
Te6 Te 0.0142 0.0285 0.2500 1
Te7 Te 0.5000 0.0000 0.0000 1
Te8 Te 0.5000 0.0000 0.5000 1


Entry 5:
# Sr3Pr2TlTe6 | the Alexandria database | PBE | optimized geometry
# density of states at the Fermi level	3.6	states/eV/f.u.
# uncorrected formation energy	-1.43	eV per atom
# volume	36.484	Å³ per atom
# total moment	0.00	μB/f.u.
# crystal system	monoclinic
data_Sr3Pr2TlTe6
_cell_length_a 4.6516
_cell_length_b 9.4797
_cell_length_c 10.4204
_cell_angle_alpha 101.87
_cell_angle_beta 102.90
_cell_angle_gamma 90.00
_space_group_name_H-M_alt 'P 1'
_space_group_IT_number 1
loop_
_space_group_symop_operation_xyz
'x,y,z'
loop_
_atom_site_label
_atom_site_type_symbol
_atom_site_fract_x
_atom_site_fract_y
_atom_site_fract_z
_atom_site_occupancy
Sr1 Sr 0.5000 0.5000 0.0000 1
Sr2 Sr 0.8393 0.1617 0.6786 1
Sr3 Sr 0.1607 0.8383 0.3214 1
Pr1 Pr 0.8336 0.6636 0.6671 1
Pr2 Pr 0.1664 0.3364 0.3329 1
Tl1 Tl 0.5000 0.0000 0.0000 1
Te1 Te 0.3281 0.9004 0.6563 1
Te2 Te 0.6693 0.5822 0.3385 1
Te3 Te 0.6719 0.0996 0.3437 1
Te4 Te 0.0070 0.2611 0.0140 1
Te5 Te 0.9930 0.7389 0.9860 1
Te6 Te 0.3307 0.4178 0.6615 1


Entry 6:
# Sr3Pr3TmTe8 | the Alexandria database | PBE | optimized geometry
# density of states at the Fermi level	5.0	states/eV/f.u.
# uncorrected formation energy	-1.55	eV per atom
# volume	36.756	Å³ per atom
# total moment	0.00	μB/f.u.
# crystal system	trigonal
data_Sr3Pr3TmTe8
_cell_length_a 9.0823
_cell_length_b 9.0836
_cell_length_c 9.3292
_cell_angle_alpha 119.13
_cell_angle_beta 90.00
_cell_angle_gamma 120.00
_space_group_name_H-M_alt 'P 1'
_space_group_IT_number 1
loop_
_space_group_symop_operation_xyz
'x,y,z'
loop_
_atom_site_label
_atom_site_type_symbol
_atom_site_fract_x
_atom_site_fract_y
_atom_site_fract_z
_atom_site_occupancy
Sr1 Sr 0.0000 0.0000 0.0000 1
Sr2 Sr 0.0000 0.5000 0.0000 1
Sr3 Sr 0.5000 0.5000 0.0000 1
Pr1 Pr 0.5000 0.0000 0.5000 1
Pr2 Pr 0.5000 0.5000 0.5000 1
Pr3 Pr 0.0000 0.5000 0.5000 1
Tm1 Tm 0.0000 0.0000 0.5000 1
Te1 Te 0.2524 0.5048 0.2571 1
Te2 Te 0.7476 0.4952 0.7429 1
Te3 Te 0.7606 0.5212 0.2672 1
Te4 Te 0.2394 0.4788 0.7328 1
Te5 Te 0.7610 0.0067 0.2676 1
Te6 Te 0.2390 0.9933 0.7324 1
Te7 Te 0.2457 0.0067 0.2676 1
Te8 Te 0.7543 0.9933 0.7324 1


Entry 7:
# Sr3PrTm3Te8 | the Alexandria database | PBE | optimized geometry
# density of states at the Fermi level	5.3	states/eV/f.u.
# uncorrected formation energy	-1.49	eV per atom
# volume	34.368	Å³ per atom
# total moment	0.00	μB/f.u.
# crystal system	trigonal
data_Sr3PrTm3Te8
_cell_length_a 8.8707
_cell_length_b 8.8699
_cell_length_c 9.1367
_cell_angle_alpha 119.05
_cell_angle_beta 90.00
_cell_angle_gamma 120.00
_space_group_name_H-M_alt 'P 1'
_space_group_IT_number 1
loop_
_space_group_symop_operation_xyz
'x,y,z'
loop_
_atom_site_label
_atom_site_type_symbol
_atom_site_fract_x
_atom_site_fract_y
_atom_site_fract_z
_atom_site_occupancy
Sr1 Sr 0.0000 0.0000 0.0000 1
Sr2 Sr 0.0000 0.5000 0.0000 1
Sr3 Sr 0.5000 0.5000 0.0000 1
Pr1 Pr 0.0000 0.0000 0.5000 1
Tm1 Tm 0.5000 0.0000 0.5000 1
Tm2 Tm 0.5000 0.5000 0.5000 1
Tm3 Tm 0.0000 0.5000 0.5000 1
Te1 Te 0.2577 0.5155 0.2733 1
Te2 Te 0.7423 0.4845 0.7267 1
Te3 Te 0.7462 0.4925 0.2646 1
Te4 Te 0.2538 0.5075 0.7354 1
Te5 Te 0.7463 0.0184 0.2647 1
Te6 Te 0.2537 0.9816 0.7353 1
Te7 Te 0.2721 0.0184 0.2647 1
Te8 Te 0.7279 0.9816 0.7353 1


Entry 8:
# Sr3Pr2TmTe6 | the Alexandria database | PBE | optimized geometry
# density of states at the Fermi level	5.3	states/eV/f.u.
# uncorrected formation energy	-1.52	eV per atom
# volume	34.058	Å³ per atom
# total moment	0.00	μB/f.u.
# crystal system	monoclinic
data_Sr3Pr2TmTe6
_cell_length_a 7.8762
_cell_length_b 7.8762
_cell_length_c 8.0425
_cell_angle_alpha 99.43
_cell_angle_beta 99.43
_cell_angle_gamma 119.90
_space_group_name_H-M_alt 'P 1'
_space_group_IT_number 1
loop_
_space_group_symop_operation_xyz
'x,y,z'
loop_
_atom_site_label
_atom_site_type_symbol
_atom_site_fract_x
_atom_site_fract_y
_atom_site_fract_z
_atom_site_occupancy
Sr1 Sr 0.1713 0.8287 0.5000 1
Sr2 Sr 0.8287 0.1713 0.5000 1
Sr3 Sr 0.5000 0.5000 0.5000 1
Pr1 Pr 0.3350 0.6650 0.0000 1
Pr2 Pr 0.6650 0.3350 0.0000 1
Tm1 Tm 0.0000 0.0000 0.0000 1
Te1 Te 0.9220 0.6002 0.7639 1
Te2 Te 0.7596 0.7596 0.2397 1
Te3 Te 0.0780 0.3998 0.2361 1
Te4 Te 0.6002 0.9220 0.7639 1
Te5 Te 0.2404 0.2404 0.7603 1
Te6 Te 0.3998 0.0780 0.2361 1